A.
A relaxed structure of KZnAg3. Source: the Alexandria database, functional PBE.

a b c (Å): 5.0729 5.0729 5.0729
angles (deg): 90.00 90.00 90.00
With the nearest neighbours (Å) after each atom.
Space group Pm-3m (No. 221)
Asymmetric unit:
K (0.0000, 0.0000, 0.0000) [1 per cell]  12 Ag 3.59
Zn (0.5000, 0.5000, 0.5000) [1 per cell]  6 Ag 2.54
Ag (0.0000, 0.5000, 0.5000) [3 per cell]  2 Zn 2.54

***

B.
A relaxed structure of KZnAg3. Source: the Alexandria database, functional PBE.

a b c (Å): 5.8213 5.8213 5.8213
angles (deg): 90.00 90.00 90.00
With the nearest neighbours (Å) after each atom.
Space group Pm-3m (No. 221)
Asymmetric unit:
K (0.0000, 0.0000, 0.0000) [1 per cell]  6 Ag 2.91
Zn (0.5000, 0.5000, 0.5000) [1 per cell]  12 Ag 4.12
Ag (0.0000, 0.0000, 0.5000) [3 per cell]  2 K 2.91

***

C.
A relaxed structure of KZnAg3. Source: the Alexandria database, functional PBE.

a b c (Å): 6.7972 6.7972 12.1024
angles (deg): 90.00 90.00 120.00
With the nearest neighbours (Å) after each atom.
Space group P6_3/mmc (No. 194)
Asymmetric unit:
K (0.0000, 0.0000, 0.0000) [2 per cell]  12 Ag 3.40-3.43
K (0.3333, 0.6667, 0.2500) [2 per cell]  12 Ag 3.42-3.61
Zn (0.3333, 0.6667, 0.6432) [4 per cell]  1 Zn 2.58, 6 Ag 2.62-2.65
Ag (0.0000, 0.5000, 0.0000) [6 per cell]  2 Zn 2.62
Ag (0.1370, 0.2741, 0.7500) [6 per cell]  2 Zn 2.65, 2 Ag 2.79

***

D.
A relaxed structure of KZnAg3. Source: the Alexandria database, functional PBE.

a b c (Å): 5.7318 10.1168 8.7792
angles (deg): 90.00 90.00 90.00
With the nearest neighbours (Å) after each atom.
Space group Imma (No. 74)
Asymmetric unit:
K (0.0000, 0.2500, 0.0724) [4 per cell]  6 Ag 3.36-3.58
Zn (0.0000, 0.0000, 0.5000) [4 per cell]  6 Ag 2.65-2.76
Ag (0.0000, 0.2500, 0.6263) [4 per cell]  2 Zn 2.76, 4 Ag 2.82
Ag (0.2500, 0.0354, 0.7500) [8 per cell]  2 Zn 2.65, 4 Ag 2.82-2.87

***

Name the most stable of them. D.

***

A.
A relaxed structure of K2ZnAg2. Source: the Alexandria database, functional PBE.

a b c (Å): 4.6361 5.7456 11.0894
angles (deg): 90.00 90.00 90.00
With the nearest neighbours (Å) after each atom.
Space group Immm (No. 71)
Asymmetric unit:
K (0.0000, 0.0000, 0.1983) [4 per cell]  6 Ag 3.50-3.64, 2 Zn 3.62, 4 K 3.87
Zn (0.0000, 0.5000, 0.0000) [2 per cell]  4 Ag 2.73
Ag (0.0000, 0.2514, 0.5000) [4 per cell]  2 Zn 2.73, 2 Ag 2.86-2.89

***

B.
A relaxed structure of K2ZnAg2. Source: the Alexandria database, functional PBE.

a b c (Å): 6.5987 6.5987 7.9032
angles (deg): 90.00 90.00 90.00
With the nearest neighbours (Å) after each atom.
Space group I4/mmm (No. 139)
Asymmetric unit:
K (0.0000, 0.5000, 0.2500) [4 per cell]  4 Ag 3.36
Zn (0.0000, 0.0000, 0.0000) [2 per cell]  2 Ag 2.60
Ag (0.0000, 0.0000, 0.3285) [4 per cell]  1 Zn 2.60, 1 Ag 2.71

***

C.
A relaxed structure of K2ZnAg2. Source: the Alexandria database, functional PBE.

a b c (Å): 7.2713 7.2713 5.4466
angles (deg): 90.00 90.00 90.00
With the nearest neighbours (Å) after each atom.
Space group P4/mbm (No. 127)
Asymmetric unit:
K (0.1761, 0.3239, 0.0000) [4 per cell]  6 Ag 3.32-3.57, 1 K 3.62
Zn (0.0000, 0.0000, 0.5000) [2 per cell]  4 Ag 2.81
Ag (0.1390, 0.6390, 0.5000) [4 per cell]  2 Zn 2.81, 1 Ag 2.86

***

D.
A relaxed structure of K2ZnAg2. Source: the Alexandria database, functional PBE.

a b c (Å): 3.9470 3.9470 20.6198
angles (deg): 90.00 90.00 90.00
With the nearest neighbours (Å) after each atom.
Space group I4/mmm (No. 139)
Asymmetric unit:
K (0.0000, 0.0000, 0.1116) [4 per cell]  4 Ag 3.47, 4 Zn 3.62
Zn (0.0000, 0.0000, 0.5000) [2 per cell]  8 K 3.62, 4 Zn 3.95
Ag (0.0000, 0.5000, 0.2500) [4 per cell]  4 Ag 2.79

***

Name the most stable of them. A.

***

A.
A relaxed structure of KZr2Ag. Source: the Alexandria database, functional PBE.

a b c (Å): 4.2170 4.2170 23.6453
angles (deg): 90.00 90.00 90.00
With the nearest neighbours (Å) after each atom.
Space group I-42d (No. 122)
Asymmetric unit:
K (0.0000, 0.0000, 0.0000) [4 per cell]  4 Ag 2.98, 4 Zr 3.33
Zr (0.2325, 0.2500, 0.6250) [8 per cell]  4 Zr 2.88-3.09
Ag (0.0000, 0.0000, 0.5000) [4 per cell]  4 K 2.98, 4 Zr 3.29

***

B.
A relaxed structure of KZr2Ag. Source: the Alexandria database, functional PBE.

a b c (Å): 3.3060 3.3060 33.5448
angles (deg): 90.00 90.00 120.00
With the nearest neighbours (Å) after each atom.
Space group R3m (No. 160, hexagonal axes)
Asymmetric unit:
K (0.0000, 0.0000, 0.0000) [3 per cell]  6 K 3.31, 3 Ag 3.54
Zr (0.0000, 0.0000, 0.5081) [3 per cell]  3 Ag 3.02, 9 Zr 3.08-3.31
Zr (0.0000, 0.0000, 0.7694) [3 per cell]  9 Zr 3.08-3.31
Ag (0.0000, 0.0000, 0.2445) [3 per cell]  3 Zr 3.02, 6 Ag 3.31

***

Name the most stable of them. B.

***

A.
A relaxed structure of KZr2Ag. Source: the Alexandria database, functional PBE.

a b c (Å): 3.0743 6.0193 11.2973
angles (deg): 90.00 90.00 90.00
With the nearest neighbours (Å) after each atom.
Space group Imm2 (No. 44)
Asymmetric unit:
K (0.0000, 0.0000, 0.0000) [2 per cell]  2 K 3.07, 2 Ag 3.23, 4 Zr 3.39
Zr (0.0000, 0.0000, 0.5266) [2 per cell]  2 Ag 2.94, 4 Zr 2.98-3.07
Zr (0.0000, 0.5000, 0.8007) [2 per cell]  4 Zr 2.98-3.07
Ag (0.0000, 0.5000, 0.2482) [2 per cell]  2 Zr 2.94, 2 Ag 3.07, 2 K 3.23

***

B.
A relaxed structure of KZr2Ag. Source: the Alexandria database, functional PBE.

a b c (Å): 3.0706 3.0706 11.1888
angles (deg): 90.00 90.00 90.00
With the nearest neighbours (Å) after each atom.
Space group P4/mmm (No. 123)
Asymmetric unit:
K (0.0000, 0.0000, 0.0000) [1 per cell]  4 K 3.07
Zr (0.5000, 0.5000, 0.3133) [2 per cell]  4 Ag 3.01, 4 Zr 3.07
Ag (0.0000, 0.0000, 0.5000) [1 per cell]  8 Zr 3.01, 4 Ag 3.07

***

Name the most stable of them. B.